No. 1
Crystalline AcPm2Pr at its relaxed geometry, computed with PBE-GGA.

Results
Its formation energy is 0.025 eV per atom. Its crystal system is tetragonal. The value obtained for the polymorph energy (0 for the lowest one) is 0 meV/atom.

Unit cell a=5.2700 b=5.3071 c=5.3071 alpha=90.00 beta=90.00 gamma=90.00
Positions (direct):
Pr 0.5000 0.0000 0.0000
Ac 0.5000 0.5000 0.5000
Pm 0.0000 0.0000 0.5000
Pm 0.0000 0.5000 0.0000

No. 2
Crystalline ZrCrRh3 at its relaxed geometry, computed with PBE-GGA.

Results
Its formation energy is 1.402 eV per atom. Its crystal system is cubic. The value obtained for the polymorph energy (0 for the lowest one) is 1040 meV/atom.

Unit cell a=4.7364 b=4.7364 c=4.7364 alpha=90.00 beta=90.00 gamma=90.00
Positions (direct):
Cr 0.5000 0.5000 0.5000
Rh 0.0000 0.5000 0.0000
Rh 0.0000 0.0000 0.5000
Rh 0.5000 0.0000 0.0000
Zr 0.0000 0.0000 0.0000

No. 3
Crystalline AsH2S at its relaxed geometry, computed with PBE-GGA.

Results
Its crystal system is tetragonal. The value obtained for the polymorph energy (0 for the lowest one) is 0 meV/atom.

Unit cell a=5.3841 b=5.3841 c=5.3735 alpha=59.93 beta=59.93 gamma=90.00
Positions (direct):
H 0.9189 0.1250 0.2500
H 0.8311 0.6250 0.2500
H 0.3750 0.0811 0.7500
H 0.8750 0.1689 0.7500
As 0.0000 0.0000 0.0000
As 0.7500 0.2500 0.5000
S 0.5000 0.5000 0.0000
S 0.2500 0.7500 0.5000

No. 4
Crystalline Pr3Y2Er at its relaxed geometry, computed with PBE-GGA.

Results
Its formation energy is -0.003 eV per atom. Its crystal system is orthorhombic. The value obtained for the polymorph energy (0 for the lowest one) is 0 meV/atom.

Unit cell a=11.6876 b=6.3217 c=6.3217 alpha=120.04 beta=90.00 gamma=90.00
Positions (direct):
Pr 0.4696 0.1648 0.8342
Pr 0.9696 0.1658 0.8352
Pr 0.4696 0.4995 0.4995
Pr 0.9696 0.5005 0.5005
Pr 0.9696 0.8352 0.1658
Pr 0.4696 0.8342 0.1648
Y 0.7196 0.1674 0.5007
Y 0.2196 0.4993 0.8326
Y 0.2196 0.8326 0.4993
Y 0.7196 0.5007 0.1674
Er 0.7197 0.8341 0.8341
Er 0.2197 0.1659 0.1659

No. 5
Crystalline Cr3As at its relaxed geometry, computed with PBE-GGA.

Results
Its formation energy is 0.093 eV per atom. Its crystal system is tetragonal.

Unit cell a=3.0340 b=3.0340 c=5.5628 alpha=90.00 beta=90.00 gamma=90.00
Positions (direct):
As 0.0000 0.0000 0.0000
Cr 0.5000 0.5000 0.7515
Cr 0.0000 0.0000 0.5000
Cr 0.5000 0.5000 0.2485

No. 6
Crystalline AcAuBr6 at its relaxed geometry, computed with PBE-GGA.

Results
Its crystal system is triclinic. The value obtained for the formation energy without anion corrections is -0.977 eV/atom.

Unit cell a=9.3276 b=9.9036 c=7.5208 alpha=57.98 beta=57.44 gamma=32.93
Positions (direct):
Ac 0.5000 0.5000 0.5000
Au 0.0000 0.0000 0.0000
Br 0.1018 0.5347 0.6667
Br 0.8481 0.9799 0.8340
Br 0.5642 0.2511 0.2746
Br 0.1519 0.0201 0.1660
Br 0.8982 0.4653 0.3333
Br 0.4358 0.7489 0.7254

No. 7
Crystalline BiOF2 at its relaxed geometry, computed with PBE-GGA.

Results
Its crystal system is cubic. The value obtained for the polymorph energy (0 for the lowest one) is 81 meV/atom. The value obtained for the formation energy without anion corrections is -1.205 eV/atom.

Unit cell a=4.1051 b=4.1051 c=4.1051 alpha=60.00 beta=60.00 gamma=60.00
Positions (direct):
Bi 0.5000 0.5000 0.5000
O 0.0000 0.0000 0.0000
F 0.2500 0.2500 0.2500
F 0.7500 0.7500 0.7500

No. 8
Crystalline NpSnO2 at its relaxed geometry, computed with PBE-GGA.

Results
Its crystal system is trigonal. The value obtained for the formation energy without anion corrections is -1.247 eV/atom.

Unit cell a=3.3343 b=3.3343 c=8.1067 alpha=78.13 beta=78.13 gamma=60.00
Positions (direct):
Np 0.0000 0.0000 0.0000
Sn 0.5000 0.5000 0.5000
O 0.0797 0.0797 0.7610
O 0.9203 0.9203 0.2390

No. 9
Crystalline Ta2CuBr at its relaxed geometry, computed with PBE-GGA.

Results
Its crystal system is tetragonal. The value obtained for the polymorph energy (0 for the lowest one) is 506 meV/atom. The value obtained for the formation energy without anion corrections is 0.773 eV/atom.

Unit cell a=3.9748 b=3.9748 c=9.8747 alpha=78.39 beta=78.39 gamma=90.00
Positions (direct):
Cu 0.5000 0.5000 0.0000
Cu 0.2500 0.7500 0.5000
Br 0.0000 0.0000 0.0000
Br 0.7500 0.2500 0.5000
Ta 0.6148 0.1250 0.2500
Ta 0.1352 0.6250 0.2500
Ta 0.3750 0.3852 0.7500
Ta 0.8750 0.8648 0.7500

No. 10
Crystalline Al2PbAu6 at its relaxed geometry, computed with PBE-GGA.

Results
Its formation energy is -0.178 eV per atom. Its crystal system is monoclinic. The value obtained for the polymorph energy (0 for the lowest one) is 0 meV/atom.

Unit cell a=3.5967 b=7.5223 c=7.5223 alpha=74.59 beta=76.28 gamma=76.28
Positions (direct):
Al 0.3122 0.6871 0.6871
Al 0.6878 0.3129 0.3129
Pb 0.0000 0.0000 0.0000
Au 0.3047 0.0411 0.3492
Au 0.6953 0.9589 0.6508
Au 0.6953 0.6508 0.9589
Au 0.5000 0.6567 0.3433
Au 0.5000 0.3433 0.6567
Au 0.3047 0.3492 0.0411